Version one
# B2IrW2

A geometry-optimized B2IrW2 structure (GGA-PBE, the Alexandria database).

The structure belongs to space group Immm (No. 71); the cell edges are 3.268, 4.757 and 7.423 Å and the angles 90.00°, 90.00° and 90.00°. The inequivalent atoms are B at (0.000, 0.188, 0.000), Ir at (0.000, 0.000, 0.500) and W at (0.000, 0.500, 0.305).

The calculation puts the density of states at the Fermi level at 5.65 states/eV per cell.

Version two
# B2IrW2

A geometry-optimized B2IrW2 structure (GGA-PBE, the Alexandria database).

The structure belongs to space group P4/mbm (No. 127); the cell edges are 5.559, 5.559 and 3.729 Å and the angles 90.00°, 90.00° and 90.00°. The inequivalent atoms are B at (0.115, 0.385, 0.000), Ir at (0.000, 0.000, 0.000) and W at (0.169, 0.669, 0.500).

The calculation puts the density of states at the Fermi level at 4.52 states/eV per cell.

We find version one to be the most stable, with the next structure 6 meV/atom higher.

Version one
# YB2Ir

A geometry-optimized YB2Ir structure (GGA-PBE, the Alexandria database).

The structure belongs to space group Fm-3m (No. 225); the cell edges are 5.873, 5.873 and 5.873 Å and the angles 90.00°, 90.00° and 90.00°. The inequivalent atoms are Y at (0.000, 0.000, 0.000), B at (0.250, 0.250, 0.250) and Ir at (0.000, 0.000, 0.500).

The calculation puts the density of states at the Fermi level at 3.72 states/eV per cell.

Version two
# YB2Ir

A geometry-optimized YB2Ir structure (GGA-PBE, the Alexandria database).

The structure belongs to space group I4_1/amd (No. 141, origin choice 2); the cell edges are 4.312, 4.312 and 13.604 Å and the angles 90.00°, 90.00° and 90.00°. The inequivalent atoms are Y at (0.000, 0.250, 0.375), B at (0.000, 0.000, 0.000) and Ir at (0.000, 0.250, 0.875).

The calculation puts the density of states at the Fermi level at 5.69 states/eV per cell.

Version three
# YB2Ir

A geometry-optimized YB2Ir structure (GGA-PBE, the Alexandria database).

The structure belongs to space group R-3m (No. 166, hexagonal axes); the cell edges are 3.6867, 3.6867 and 13.9301 Å and the angles 90.00°, 90.00° and 120.00°. The inequivalent atoms are Y at (0.0000, 0.0000, 0.0000), B at (0.0000, 0.0000, 0.2042) and Ir at (0.0000, 0.0000, 0.5000).

The calculation puts the density of states at the Fermi level at 6.70 states/eV per cell.

We find version three to be the most stable, with the next structure 30 meV/atom higher.

Version one
# YBIr

A geometry-optimized YBIr structure (GGA-PBE, the Alexandria database).

The structure belongs to space group C2/m (No. 12); the cell edges are 11.606, 3.423 and 5.153 Å and the angles 90.00°, 108.31° and 90.00°. The inequivalent atoms are Y at (0.116, 0.000, 0.299), B at (0.226, 0.000, 0.880) and Ir at (0.113, 0.500, 0.768).

The calculation puts the density of states at the Fermi level at 7.93 states/eV per cell.

Version two
# YBIr

A geometry-optimized YBIr structure (GGA-PBE, the Alexandria database).

The structure belongs to space group P-6m2 (No. 187); the cell edges are 3.6858, 3.6858 and 4.2823 Å and the angles 90.00°, 90.00° and 120.00°. The inequivalent atoms are Y at (0.0000, 0.0000, 0.0000), B at (0.3333, 0.6667, 0.5000) and Ir at (0.6667, 0.3333, 0.5000).

The calculation puts the density of states at the Fermi level at 2.51 states/eV per cell.

We find version two to be the most stable, with the next structure 37 meV/atom higher.

Version one
# YB2Ir3

A geometry-optimized YB2Ir3 structure (GGA-PBE, the Alexandria database).

The structure belongs to space group P6/mmm (No. 191); the cell edges are 8.9020, 8.9020 and 3.6159 Å and the angles 90.00°, 90.00° and 120.00°. The inequivalent atoms are Y at (0.0000, 0.0000, 0.0000), Y at (0.3333, 0.6667, 0.5000), B at (0.1895, 0.3791, 0.0000), Ir at (0.0000, 0.2824, 0.5000) and Ir at (0.0000, 0.5000, 0.0000).

The calculation puts the density of states at the Fermi level at 11.43 states/eV per cell.

Version two
# YB2Ir3

A geometry-optimized YB2Ir3 structure (GGA-PBE, the Alexandria database).

The structure belongs to space group P6/mmm (No. 191); the cell edges are 5.4759, 5.4759 and 3.1514 Å and the angles 90.00°, 90.00° and 120.00°. The inequivalent atoms are Y at (0.0000, 0.0000, 0.0000), B at (0.3333, 0.6667, 0.0000) and Ir at (0.0000, 0.5000, 0.5000).

The calculation puts the density of states at the Fermi level at 1.07 states/eV per cell.

We find version two to be the most stable, with the next structure 305 meV/atom higher.

Version one
# YB3Ir

A geometry-optimized YB3Ir structure (GGA-PBE, the Alexandria database).

The structure belongs to space group Pm-3m (No. 221); the cell edges are 4.250, 4.250 and 4.250 Å and the angles 90.00°, 90.00° and 90.00°. The inequivalent atoms are Y at (0.000, 0.000, 0.000), B at (0.000, 0.000, 0.500) and Ir at (0.500, 0.500, 0.500).

The calculation puts the density of states at the Fermi level at 4.87 states/eV per cell.

Version two
# YB3Ir

A geometry-optimized YB3Ir structure (GGA-PBE, the Alexandria database).

The structure belongs to space group Pm-3m (No. 221); the cell edges are 4.109, 4.109 and 4.109 Å and the angles 90.00°, 90.00° and 90.00°. The inequivalent atoms are Y at (0.000, 0.000, 0.000), B at (0.000, 0.500, 0.500) and Ir at (0.500, 0.500, 0.500).

The calculation puts the density of states at the Fermi level at 4.66 states/eV per cell.

We find version two to be the most stable, with the next structure 2360 meV/atom higher.

Version one
# Zn5B3Ir7

A geometry-optimized Zn5B3Ir7 structure (GGA-PBE, the Alexandria database).

The structure belongs to space group Pmma (No. 51); the cell edges are 11.258, 2.875 and 11.888 Å and the angles 90.00°, 90.00° and 90.00°. The inequivalent atoms are Zn at (0.048, 0.000, 0.135), Zn at (0.131, 0.000, 0.345), Zn at (0.250, 0.000, 0.811), B at (0.118, 0.000, 0.593), B at (0.250, 0.000, 0.035), Ir at (0.000, 0.500, 0.500), Ir at (0.080, 0.500, 0.721), Ir at (0.125, 0.500, 0.962), Ir at (0.250, 0.500, 0.180) and Ir at (0.250, 0.500, 0.525).

The calculation puts the density of states at the Fermi level at 10.77 states/eV per cell.

Version two
# Zn5B3Ir7

A geometry-optimized Zn5B3Ir7 structure (GGA-PBE, the Alexandria database).

The structure belongs to space group Pmma (No. 51); the cell edges are 11.104, 2.865 and 12.261 Å and the angles 90.00°, 90.00° and 90.00°. The inequivalent atoms are Zn at (0.048, 0.000, 0.149), Zn at (0.108, 0.000, 0.351), Zn at (0.250, 0.000, 0.065), B at (0.126, 0.000, 0.587), B at (0.250, 0.000, 0.853), Ir at (0.000, 0.500, 0.500), Ir at (0.114, 0.500, 0.714), Ir at (0.122, 0.500, 0.935), Ir at (0.250, 0.500, 0.235) and Ir at (0.250, 0.500, 0.509).

The calculation puts the density of states at the Fermi level at 11.97 states/eV per cell.

We find version one to be the most stable, with the next structure 155 meV/atom higher.